A plane-wave DFT calculation with PBE-GGA was carried out for a relaxed structure of SeS4.

extended XYZ file:
```
5
Lattice="-0.537 3.566 -3.136 -4.727 -0.100 0.696 0.453 3.180 3.538" Properties=species:S:1:pos:R:3 pbc="T T T"
S 0.000 0.000 0.000
S -0.042 3.373 0.201
S -2.137 1.540 2.117
S -2.632 1.733 -1.220
Se -2.405 3.323 0.549
```

Results
total DFT energy (no corrections) = -2.832 eV per atom
total magnetic moment = 1.1 μB/f.u.
offset from the most stable computed form = 1038 meV per atom